Record 1
PBE Th2Zn7Ga, optimized geometry; VASP energy = -0.11013 Ha/atom; E_form = -3.18 eV per formula unit
1.0
-1.9210 3.4363 -1.6694
0.6406 -1.5523 -3.9326
-9.1416 -4.8951 0.4431
Th Zn Ga
2 7 1
Cartesian
-7.7977 -1.9430 -0.5033
-1.9840 -2.0101 -1.8546
-7.5868 -5.0103 -1.5831
-4.3381 -0.0905 -0.6710
-2.1949 1.0572 -0.7749
-5.4436 -3.8627 -1.6869
-4.5708 -2.4476 0.2215
0.0000 0.0000 0.0000
-5.2110 -1.5056 -2.5795
-0.6402 0.9420 -2.8010

---

Record 2
PBE TbBeRh, optimized geometry; VASP energy = -0.21140 Ha/atom; E_form = -1.55 eV per formula unit
1.0
0.8288 -4.3365 2.2959
4.5721 -2.2730 -0.5509
2.8607 -0.0505 4.2647
Tb Be Rh
2 2 2
Cartesian
3.5028 -4.6687 3.3995
4.7588 -1.9913 2.6102
0.0000 0.0000 0.0000
0.4144 -2.1682 1.1479
2.7004 -3.3047 0.8725
1.8448 -2.1935 3.2803

---

Record 3
PBE CsHg3Pd, optimized geometry; VASP energy = -0.05347 Ha/atom; E_form = -0.32 eV per formula unit
1.0
-2.6110 -4.3854 1.7122
4.5208 -2.8820 -0.4874
1.9240 1.7597 7.4410
Cs Hg Pd
1 3 1
Cartesian
0.6895 0.6306 2.6665
1.7140 1.5676 6.6289
0.0061 -0.9931 5.9287
3.5720 -0.2414 4.8289
2.2076 -2.4879 5.4573

---

Record 4
PBE CoSe2Cl, optimized geometry; VASP energy = -0.15443 Ha/atom; ΔE_f (raw) = -5.1 kcal/mol of atoms
1.0
-0.8362 1.9891 -2.9543
1.8509 -6.9197 -4.2116
-5.9479 -1.8554 0.4344
Co Se Cl
2 4 2
Cartesian
-3.9720 -4.0498 -4.3340
-0.9612 -2.7362 -2.3975
-2.0190 -4.8131 -3.1785
-2.9142 -1.9729 -3.5531
-4.9765 -5.7357 -2.9625
0.0433 -1.0504 -3.7690
-1.4538 -0.8680 -1.1633
-3.4794 -5.9180 -5.5682